Here is a relaxed MnCdNi2 crystal from Alexandria via LeMat-Bulk. Energies are from PBE.

Properties
- Density of states at the Fermi level: 0.484 states/eV/atom
- Size of the total moment: 4.52 μB per formula unit
- DFT total energy: -21.14 eV for the cell shown
- Formation energy: 0.126 eV per atom

Lattice parameters (Å, degrees): 2.7879 4.0957 5.1656 90.00 105.57 90.00
Closest atoms and distances in Å follow each position.
Fractional coordinates of all 4 atoms:
Mn1 0.0000 0.0000 0.0000  7 Ni 2.58-2.80, 2 Mn 2.79
Cd1 0.3240 0.5000 0.6478  7 Ni 2.59-2.77, 2 Cd 2.79
Ni1 0.5811 0.5000 0.1675  2 Ni 2.45, 1 Cd 2.59, 4 Mn 2.61-2.62
Ni2 0.7186 0.0000 0.4367  2 Ni 2.45, 2 Mn 2.58, 4 Cd 2.69